A geometry-optimized Er8Tc2Ni structure. Source: the Alexandria database, functional PBE-GGA.

## Properties
Total magnetic moment ... 0.00 μB per formula unit
Formation energy from the elements ... -0.080 eV/atom
D(E_F) ... 8.880 states/eV/cell

```
data_Er8Tc2Ni
_chemical_formula_sum 'Er8 Tc2 Ni1'
_symmetry_space_group_name_H-M 'P 1'
_symmetry_Int_Tables_number 1
_symmetry_space_group_name_Hall 'P 1'
_cell_length_a 7.537
_cell_length_b 7.537
_cell_length_c 5.812
_cell_angle_alpha 101.42
_cell_angle_beta 101.42
_cell_angle_gamma 112.88
loop_
_atom_site_label
_atom_site_type_symbol
_atom_site_fract_x
_atom_site_fract_y
_atom_site_fract_z
Er1 Er 0.000 0.000 0.000
Er2 Er 0.011 0.275 0.592
Er3 Er 0.149 0.563 0.190
Er4 Er 0.275 0.011 0.592
Er5 Er 0.437 0.696 0.800
Er6 Er 0.563 0.149 0.190
Er7 Er 0.696 0.437 0.800
Er8 Er 0.727 0.727 0.393
Tc1 Tc 0.052 0.669 0.709
Tc2 Tc 0.669 0.052 0.709
Ni1 Ni 0.368 0.368 0.037
```

***

A geometry-optimized ErTcNi structure. Source: the Alexandria database, functional PBE-GGA.

## Properties
Total magnetic moment ... 0.02 μB per formula unit
Formation energy from the elements ... 0.003 eV/atom
D(E_F) ... 16.041 states/eV/cell

```
data_ErTcNi
_chemical_formula_sum 'Er4 Tc4 Ni4'
_symmetry_space_group_name_H-M 'P 1'
_symmetry_Int_Tables_number 1
_symmetry_space_group_name_Hall 'P 1'
_cell_length_a 8.541
_cell_length_b 5.314
_cell_length_c 4.894
_cell_angle_alpha 90.00
_cell_angle_beta 106.60
_cell_angle_gamma 90.00
loop_
_atom_site_label
_atom_site_type_symbol
_atom_site_fract_x
_atom_site_fract_y
_atom_site_fract_z
Er1 Er 0.140 0.000 0.374
Er2 Er 0.360 0.500 0.626
Er3 Er 0.640 0.500 0.374
Er4 Er 0.860 0.000 0.626
Tc1 Tc 0.003 0.500 0.740
Tc2 Tc 0.497 0.000 0.260
Tc3 Tc 0.503 0.000 0.740
Tc4 Tc 0.997 0.500 0.260
Ni1 Ni 0.250 0.250 0.000
Ni2 Ni 0.250 0.750 0.000
Ni3 Ni 0.750 0.250 0.000
Ni4 Ni 0.750 0.750 0.000
```

***

A geometry-optimized Er4TcNi structure. Source: the Alexandria database, functional PBE-GGA.

## Properties
Total magnetic moment ... 0.00 μB per formula unit
Formation energy from the elements ... -0.028 eV/atom
D(E_F) ... 7.514 states/eV/cell

```
data_Er4TcNi
_chemical_formula_sum 'Er8 Tc2 Ni2'
_symmetry_space_group_name_H-M 'P 1'
_symmetry_Int_Tables_number 1
_symmetry_space_group_name_Hall 'P 1'
_cell_length_a 7.535
_cell_length_b 7.535
_cell_length_c 7.535
_cell_angle_alpha 106.46
_cell_angle_beta 106.46
_cell_angle_gamma 115.68
loop_
_atom_site_label
_atom_site_type_symbol
_atom_site_fract_x
_atom_site_fract_y
_atom_site_fract_z
Er1 Er 0.207 0.506 0.701
Er2 Er 0.256 0.055 0.799
Er3 Er 0.256 0.457 0.201
Er4 Er 0.295 0.000 0.295
Er5 Er 0.705 0.000 0.705
Er6 Er 0.750 0.545 0.795
Er7 Er 0.750 0.955 0.205
Er8 Er 0.805 0.506 0.299
Tc1 Tc 0.260 0.760 0.500
Tc2 Tc 0.510 0.510 0.000
Ni1 Ni 0.001 0.001 0.000
Ni2 Ni 0.751 0.251 0.500
```

***

A geometry-optimized Er2Tc3Ni structure. Source: the Alexandria database, functional PBE-GGA.

## Properties
Total magnetic moment ... 0.00 μB per formula unit
Formation energy from the elements ... -0.271 eV/atom
D(E_F) ... 6.660 states/eV/cell

```
data_Er2Tc3Ni
_chemical_formula_sum 'Er2 Tc3 Ni1'
_symmetry_space_group_name_H-M 'P 1'
_symmetry_Int_Tables_number 1
_symmetry_space_group_name_Hall 'P 1'
_cell_length_a 5.440
_cell_length_b 5.440
_cell_length_c 5.440
_cell_angle_alpha 56.94
_cell_angle_beta 56.94
_cell_angle_gamma 56.94
loop_
_atom_site_label
_atom_site_type_symbol
_atom_site_fract_x
_atom_site_fract_y
_atom_site_fract_z
Er1 Er 0.124 0.124 0.124
Er2 Er 0.876 0.876 0.876
Tc1 Tc 0.000 0.500 0.500
Tc2 Tc 0.500 0.000 0.500
Tc3 Tc 0.500 0.500 0.000
Ni1 Ni 0.500 0.500 0.500
```

***

A geometry-optimized Er4TcNi structure. Source: the Alexandria database, functional PBE-GGA.

## Properties
Total magnetic moment ... 0.00 μB per formula unit
Formation energy from the elements ... -0.212 eV/atom
D(E_F) ... 17.826 states/eV/cell

```
data_Er4TcNi
_chemical_formula_sum 'Er16 Tc4 Ni4'
_symmetry_space_group_name_H-M 'P 1'
_symmetry_Int_Tables_number 1
_symmetry_space_group_name_Hall 'P 1'
_cell_length_a 7.309
_cell_length_b 4.360
_cell_length_c 17.687
_cell_angle_alpha 90.00
_cell_angle_beta 90.00
_cell_angle_gamma 90.00
loop_
_atom_site_label
_atom_site_type_symbol
_atom_site_fract_x
_atom_site_fract_y
_atom_site_fract_z
Er1 Er 0.011 0.250 0.076
Er2 Er 0.076 0.250 0.779
Er3 Er 0.089 0.250 0.351
Er4 Er 0.151 0.250 0.545
Er5 Er 0.349 0.750 0.045
Er6 Er 0.411 0.750 0.851
Er7 Er 0.424 0.750 0.279
Er8 Er 0.489 0.750 0.576
Er9 Er 0.511 0.250 0.424
Er10 Er 0.576 0.250 0.721
Er11 Er 0.589 0.250 0.149
Er12 Er 0.651 0.250 0.955
Er13 Er 0.849 0.750 0.455
Er14 Er 0.911 0.750 0.649
Er15 Er 0.924 0.750 0.221
Er16 Er 0.989 0.750 0.924
Tc1 Tc 0.250 0.250 0.938
Tc2 Tc 0.250 0.750 0.438
Tc3 Tc 0.750 0.250 0.562
Tc4 Tc 0.750 0.750 0.062
Ni1 Ni 0.225 0.250 0.206
Ni2 Ni 0.275 0.750 0.706
Ni3 Ni 0.725 0.250 0.294
Ni4 Ni 0.775 0.750 0.794
```

***

A geometry-optimized Er6TcNi2 structure. Source: the Alexandria database, functional PBE-GGA.

## Properties
Total magnetic moment ... 0.00 μB per formula unit
Formation energy from the elements ... -0.234 eV/atom
D(E_F) ... 18.669 states/eV/cell

```
data_Er6TcNi2
_chemical_formula_sum 'Er12 Tc2 Ni4'
_symmetry_space_group_name_H-M 'P 1'
_symmetry_Int_Tables_number 1
_symmetry_space_group_name_Hall 'P 1'
_cell_length_a 8.124
_cell_length_b 8.124
_cell_length_c 8.124
_cell_angle_alpha 110.77
_cell_angle_beta 109.91
_cell_angle_gamma 107.74
loop_
_atom_site_label
_atom_site_type_symbol
_atom_site_fract_x
_atom_site_fract_y
_atom_site_fract_z
Er1 Er 0.023 0.828 0.196
Er2 Er 0.260 0.573 0.313
Er3 Er 0.260 0.947 0.687
Er4 Er 0.261 0.323 0.584
Er5 Er 0.261 0.677 0.938
Er6 Er 0.368 0.172 0.196
Er7 Er 0.632 0.828 0.804
Er8 Er 0.739 0.323 0.062
Er9 Er 0.739 0.677 0.416
Er10 Er 0.740 0.053 0.313
Er11 Er 0.740 0.427 0.687
Er12 Er 0.977 0.172 0.804
Tc1 Tc 0.000 0.500 0.500
Tc2 Tc 0.500 0.000 0.500
Ni1 Ni 0.000 0.156 0.156
Ni2 Ni 0.000 0.844 0.844
Ni3 Ni 0.381 0.381 0.000
Ni4 Ni 0.619 0.619 0.000
```

***

A geometry-optimized ErTiTcNi structure. Source: the Alexandria database, functional PBE-GGA.

## Properties
Total magnetic moment ... 0.00 μB per formula unit
Formation energy from the elements ... -0.256 eV/atom
D(E_F) ... 11.291 states/eV/cell

```
data_ErTiTcNi
_chemical_formula_sum 'Er4 Ti4 Tc4 Ni4'
_symmetry_space_group_name_H-M 'P 1'
_symmetry_Int_Tables_number 1
_symmetry_space_group_name_Hall 'P 1'
_cell_length_a 6.422
_cell_length_b 6.422
_cell_length_c 6.422
_cell_angle_alpha 90.00
_cell_angle_beta 90.00
_cell_angle_gamma 90.00
loop_
_atom_site_label
_atom_site_type_symbol
_atom_site_fract_x
_atom_site_fract_y
_atom_site_fract_z
Er1 Er 0.000 0.000 0.000
Er2 Er 0.000 0.500 0.500
Er3 Er 0.500 0.000 0.500
Er4 Er 0.500 0.500 0.000
Ti1 Ti 0.000 0.000 0.500
Ti2 Ti 0.000 0.500 0.000
Ti3 Ti 0.500 0.000 0.000
Ti4 Ti 0.500 0.500 0.500
Tc1 Tc 0.250 0.250 0.750
Tc2 Tc 0.250 0.750 0.250
Tc3 Tc 0.750 0.250 0.250
Tc4 Tc 0.750 0.750 0.750
Ni1 Ni 0.250 0.250 0.250
Ni2 Ni 0.250 0.750 0.750
Ni3 Ni 0.750 0.250 0.750
Ni4 Ni 0.750 0.750 0.250
```

***

A geometry-optimized ErNi4Te structure. Source: the Alexandria database, functional PBE-GGA.

## Properties
Total magnetic moment ... 1.12 μB per formula unit
D(E_F) ... 3.869 states/eV/cell
Uncorrected formation energy ... -0.28 eV/atom

```
data_ErNi4Te
_chemical_formula_sum 'Er1 Ni4 Te1'
_symmetry_space_group_name_H-M 'P 1'
_symmetry_Int_Tables_number 1
_symmetry_space_group_name_Hall 'P 1'
_cell_length_a 5.010
_cell_length_b 5.010
_cell_length_c 5.010
_cell_angle_alpha 60.00
_cell_angle_beta 60.00
_cell_angle_gamma 60.00
loop_
_atom_site_label
_atom_site_type_symbol
_atom_site_fract_x
_atom_site_fract_y
_atom_site_fract_z
Er1 Er 0.000 0.000 0.000
Ni1 Ni 0.123 0.626 0.626
Ni2 Ni 0.626 0.123 0.626
Ni3 Ni 0.626 0.626 0.123
Ni4 Ni 0.626 0.626 0.626
Te1 Te 0.250 0.250 0.250
```

***

A geometry-optimized Er3NiTe structure. Source: the Alexandria database, functional PBE-GGA.

## Properties
Total magnetic moment ... 0.00 μB per formula unit
D(E_F) ... 9.592 states/eV/cell
Uncorrected formation energy ... -0.71 eV/atom

```
data_Er3NiTe
_chemical_formula_sum 'Er6 Ni2 Te2'
_symmetry_space_group_name_H-M 'P 1'
_symmetry_Int_Tables_number 1
_symmetry_space_group_name_Hall 'P 1'
_cell_length_a 7.880
_cell_length_b 7.880
_cell_length_c 8.441
_cell_angle_alpha 92.39
_cell_angle_beta 92.39
_cell_angle_gamma 28.84
loop_
_atom_site_label
_atom_site_type_symbol
_atom_site_fract_x
_atom_site_fract_y
_atom_site_fract_z
Er1 Er 0.044 0.044 0.215
Er2 Er 0.256 0.256 0.776
Er3 Er 0.394 0.394 0.454
Er4 Er 0.606 0.606 0.546
Er5 Er 0.744 0.744 0.224
Er6 Er 0.956 0.956 0.785
Ni1 Ni 0.205 0.205 0.430
Ni2 Ni 0.795 0.795 0.570
Te1 Te 0.387 0.387 0.071
Te2 Te 0.613 0.613 0.929
```

***

A geometry-optimized Er5NiTe5 structure. Source: the Alexandria database, functional PBE-GGA.

## Properties
Total magnetic moment ... 0.68 μB per formula unit
D(E_F) ... 8.930 states/eV/cell
Uncorrected formation energy ... -1.10 eV/atom

```
data_Er5NiTe5
_chemical_formula_sum 'Er5 Ni1 Te5'
_symmetry_space_group_name_H-M 'P 1'
_symmetry_Int_Tables_number 1
_symmetry_space_group_name_Hall 'P 1'
_cell_length_a 7.455
_cell_length_b 7.455
_cell_length_c 8.437
_cell_angle_alpha 107.40
_cell_angle_beta 107.40
_cell_angle_gamma 48.03
loop_
_atom_site_label
_atom_site_type_symbol
_atom_site_fract_x
_atom_site_fract_y
_atom_site_fract_z
Er1 Er 0.000 0.000 0.000
Er2 Er 0.351 0.351 0.149
Er3 Er 0.352 0.352 0.696
Er4 Er 0.648 0.648 0.304
Er5 Er 0.649 0.649 0.851
Ni1 Ni 0.500 0.500 0.000
Te1 Te 0.165 0.165 0.822
Te2 Te 0.184 0.184 0.334
Te3 Te 0.500 0.500 0.500
Te4 Te 0.816 0.816 0.666
Te5 Te 0.835 0.835 0.178
```

***

Copy entry 7 word for word.
A geometry-optimized ErTiTcNi structure. Source: the Alexandria database, functional PBE-GGA.

## Properties
Total magnetic moment ... 0.00 μB per formula unit
Formation energy from the elements ... -0.256 eV/atom
D(E_F) ... 11.291 states/eV/cell

```
data_ErTiTcNi
_chemical_formula_sum 'Er4 Ti4 Tc4 Ni4'
_symmetry_space_group_name_H-M 'P 1'
_symmetry_Int_Tables_number 1
_symmetry_space_group_name_Hall 'P 1'
_cell_length_a 6.422
_cell_length_b 6.422
_cell_length_c 6.422
_cell_angle_alpha 90.00
_cell_angle_beta 90.00
_cell_angle_gamma 90.00
loop_
_atom_site_label
_atom_site_type_symbol
_atom_site_fract_x
_atom_site_fract_y
_atom_site_fract_z
Er1 Er 0.000 0.000 0.000
Er2 Er 0.000 0.500 0.500
Er3 Er 0.500 0.000 0.500
Er4 Er 0.500 0.500 0.000
Ti1 Ti 0.000 0.000 0.500
Ti2 Ti 0.000 0.500 0.000
Ti3 Ti 0.500 0.000 0.000
Ti4 Ti 0.500 0.500 0.500
Tc1 Tc 0.250 0.250 0.750
Tc2 Tc 0.250 0.750 0.250
Tc3 Tc 0.750 0.250 0.250
Tc4 Tc 0.750 0.750 0.750
Ni1 Ni 0.250 0.250 0.250
Ni2 Ni 0.250 0.750 0.750
Ni3 Ni 0.750 0.250 0.750
Ni4 Ni 0.750 0.750 0.250
```

***

Copy entry 5 word for word.
A geometry-optimized Er4TcNi structure. Source: the Alexandria database, functional PBE-GGA.

## Properties
Total magnetic moment ... 0.00 μB per formula unit
Formation energy from the elements ... -0.212 eV/atom
D(E_F) ... 17.826 states/eV/cell

```
data_Er4TcNi
_chemical_formula_sum 'Er16 Tc4 Ni4'
_symmetry_space_group_name_H-M 'P 1'
_symmetry_Int_Tables_number 1
_symmetry_space_group_name_Hall 'P 1'
_cell_length_a 7.309
_cell_length_b 4.360
_cell_length_c 17.687
_cell_angle_alpha 90.00
_cell_angle_beta 90.00
_cell_angle_gamma 90.00
loop_
_atom_site_label
_atom_site_type_symbol
_atom_site_fract_x
_atom_site_fract_y
_atom_site_fract_z
Er1 Er 0.011 0.250 0.076
Er2 Er 0.076 0.250 0.779
Er3 Er 0.089 0.250 0.351
Er4 Er 0.151 0.250 0.545
Er5 Er 0.349 0.750 0.045
Er6 Er 0.411 0.750 0.851
Er7 Er 0.424 0.750 0.279
Er8 Er 0.489 0.750 0.576
Er9 Er 0.511 0.250 0.424
Er10 Er 0.576 0.250 0.721
Er11 Er 0.589 0.250 0.149
Er12 Er 0.651 0.250 0.955
Er13 Er 0.849 0.750 0.455
Er14 Er 0.911 0.750 0.649
Er15 Er 0.924 0.750 0.221
Er16 Er 0.989 0.750 0.924
Tc1 Tc 0.250 0.250 0.938
Tc2 Tc 0.250 0.750 0.438
Tc3 Tc 0.750 0.250 0.562
Tc4 Tc 0.750 0.750 0.062
Ni1 Ni 0.225 0.250 0.206
Ni2 Ni 0.275 0.750 0.706
Ni3 Ni 0.725 0.250 0.294
Ni4 Ni 0.775 0.750 0.794
```

***

Q: The highest total magnetic moment belongs to which entry?
A: ErNi4Te

***

Q: Among the records above, which one has the highest total magnetic moment?
A: ErNi4Te